A plane-wave DFT calculation with PBE was carried out for an optimized crystal structure of Ac4PrBi5.

a b c (Å): 4.840 4.840 17.419
angles (deg): 97.99 97.99 90.00
Element x y z (fractional)
Ac 0.199 0.199 0.398
Ac 0.801 0.801 0.602
Ac 0.401 0.401 0.802
Ac 0.599 0.599 0.198
Bi 0.500 0.500 0.000
Bi 0.300 0.300 0.600
Bi 0.903 0.903 0.805
Bi 0.097 0.097 0.195
Bi 0.700 0.700 0.400
Pr 0.000 0.000 0.000

Values from the calculation:
electronic total energy = -50.5 eV per cell
space group = I4/mmm, No. 139
formation energy = -0.98 eV per atom